Record 1
Ho3Tm2ThS6 (PBE-GGA, relaxed); space-group type = C2/m, No. 12; VASP energy = -6.495 eV/atom; DOS(E_F) = 6.0 states/eV/cell; ΔE_f (raw) = -1.9233 eV/atom
1.0
3.8900 0.0000 0.0000
0.0000 7.8262 0.3152
-1.9450 -2.2180 8.1909
Ho Tm Th S
3 2 1 6
Cartesian
1.9450 3.9131 0.1576
1.9450 -0.2008 5.5933
0.0000 5.8091 2.9128
1.9450 3.7579 5.7078
0.0000 1.8504 2.7983
1.9450 0.0000 0.0000
0.0000 5.6704 5.6425
1.9450 3.7987 2.9518
1.9450 -0.0622 2.8636
0.0000 2.0536 0.1225
1.9450 3.5547 8.3835
0.0000 1.8095 5.5543

***

Record 2
Ho3TmTh4S8 (PBE-GGA, relaxed); space-group type = R-3m, No. 166; VASP energy = -6.960 eV/atom; DOS(E_F) = 5.1 states/eV/cell; ΔE_f (raw) = -1.9031 eV/atom
1.0
7.7631 0.0000 0.0000
0.0000 8.0766 0.2148
-3.8815 -3.8769 5.4925
Ho Tm Th S
3 1 4 8
Cartesian
3.8815 4.0383 0.1074
1.9408 2.0999 2.8537
-1.9408 2.0999 2.8537
0.0000 4.0383 0.1074
3.8815 0.0000 0.0000
1.9408 -1.9384 2.7462
0.0000 0.0000 0.0000
-1.9408 -1.9384 2.7462
-1.9515 2.0694 5.5828
0.0000 4.0186 2.8213
0.0000 0.1817 2.8712
1.9515 2.0694 5.5828
1.9300 2.1303 0.1245
3.8815 4.0180 2.8361
3.8815 0.1811 2.8860
5.8330 2.1303 0.1245

***

Record 3
YHo2ThS4 (PBE-GGA, relaxed); space-group type = P2/m, No. 10; VASP energy = -6.875 eV/atom; DOS(E_F) = 3.3 states/eV/cell; ΔE_f (raw) = -1.9309 eV/atom
1.0
3.9037 0.0000 0.0000
0.0000 6.8416 -0.1590
0.0000 2.3858 6.3984
Y Ho Th S
1 2 1 4
Cartesian
0.0000 4.6137 3.1197
0.0000 2.3858 6.3984
1.9519 1.1929 3.1992
1.9519 3.4208 -0.0795
0.0001 6.9795 4.6150
3.9037 2.2479 1.6244
1.9519 5.7862 1.4985
1.9519 3.4412 4.7409